(1)
## Cu2Au (SCAN)

Data for a crystal of Cu2Au relaxed with PBEsol.

Lattice parameters (Å, degrees): 3.7228 3.7228 22.9925 90.00 90.00 90.00
Closest atoms and distances in Å follow each position.
Space group I4_1/amd (No. 141, origin choice 2)
Asymmetric unit:
Cu: 0.0000 0.2500 0.1246 [8 per cell]  4 Au 2.61-2.62, 8 Cu 2.63-2.65
Cu: 0.0000 0.2500 0.2935 [8 per cell]  6 Au 2.63-2.76, 6 Cu 2.63-2.73
Au: 0.0000 0.2500 0.7952 [8 per cell]  10 Cu 2.61-2.76, 2 Au 2.79

Calculated formation energy: -21.1 kJ/mol of formula units
Density of states at the Fermi level: 0.279 states/eV/atom

=====

(2)
## Mn2NiOs (SCAN)

Data for a crystal of Mn2NiOs relaxed with PBEsol.

Lattice parameters (Å, degrees): 3.6006 3.6006 7.1601 90.00 90.00 90.00
Closest atoms and distances in Å follow each position.
Space group I-4m2 (No. 119)
Asymmetric unit:
Mn: 0.0000 0.0000 0.0000 [2 per cell]  4 Mn 2.54, 4 Ni 2.54, 4 Os 2.55
Mn: 0.0000 0.5000 0.2500 [2 per cell]  4 Mn 2.54, 4 Os 2.54, 4 Ni 2.55
Ni: 0.0000 0.5000 0.7500 [2 per cell]  8 Mn 2.54-2.55, 4 Os 2.54
Os: 0.0000 0.0000 0.5000 [2 per cell]  8 Mn 2.54-2.55, 4 Ni 2.54

Calculated formation energy: -56.8 kJ/mol of formula units
Density of states at the Fermi level: 0.708 states/eV/atom

=====

(3)
## TaCrIr2 (SCAN)

Data for a crystal of TaCrIr2 relaxed with PBEsol.

Lattice parameters (Å, degrees): 2.7581 3.7403 5.5201 90.00 90.00 90.00
Closest atoms and distances in Å follow each position.
Space group Pmmm (No. 47)
Asymmetric unit:
Ta: 0.0000 0.0000 0.0000 [1 per cell]  8 Ir 2.75, 2 Ta 2.76, 2 Cr 2.76
Cr: 0.0000 0.0000 0.5000 [1 per cell]  8 Ir 2.66, 2 Cr 2.76, 2 Ta 2.76
Ir: 0.5000 0.5000 0.2649 [2 per cell]  3 Ir 2.60-2.76, 4 Cr 2.66, 4 Ta 2.75

Calculated formation energy: -205.9 kJ/mol of formula units
Density of states at the Fermi level: 0.723 states/eV/atom

=====

(4)
## SrCuSb (SCAN)

Data for a crystal of SrCuSb relaxed with PBEsol.

Lattice parameters (Å, degrees): 4.4675 4.4675 8.7414 90.00 90.00 120.00
Closest atoms and distances in Å follow each position.
Space group P6_3/mmc (No. 194)
Asymmetric unit:
Sr: 0.0000 0.0000 0.0000 [2 per cell]  6 Sb 3.38, 6 Cu 3.38
Cu: 0.3333 0.6667 0.2500 [2 per cell]  3 Sb 2.58
Sb: 0.3333 0.6667 0.7500 [2 per cell]  3 Cu 2.58

Density of states at the Fermi level: 0.050 states/eV/atom
Calculated total energy: -25.701 eV per atom

=====

(5)
## ScHg (SCAN)

Data for a crystal of ScHg relaxed with PBEsol.

Lattice parameters (Å, degrees): 3.4631 3.4631 3.4631 90.00 90.00 90.00
Closest atoms and distances in Å follow each position.
Space group Pm-3m (No. 221)
Asymmetric unit:
Sc: 0.0000 0.0000 0.0000 [1 per cell]  8 Hg 3.00
Hg: 0.5000 0.5000 0.5000 [1 per cell]  8 Sc 3.00

Calculated formation energy: -129.5 kJ/mol of formula units
Density of states at the Fermi level: 0.625 states/eV/atom

=====

(6)
## ReIr3 (SCAN)

Data for a crystal of ReIr3 relaxed with PBEsol.

Lattice parameters (Å, degrees): 2.7107 2.7107 26.6878 90.00 90.00 120.00
Closest atoms and distances in Å follow each position.
Space group R-3m (No. 166, hexagonal axes)
Asymmetric unit:
Re: 0.0000 0.0000 0.0000 [3 per cell]  6 Ir 2.70, 6 Re 2.71
Ir: 0.0000 0.0000 0.2511 [6 per cell]  3 Re 2.70, 9 Ir 2.71-2.74
Ir: 0.0000 0.0000 0.5000 [3 per cell]  12 Ir 2.71-2.74

Calculated formation energy: -34.2 kJ/mol of formula units
Density of states at the Fermi level: 0.744 states/eV/atom

=====

density of states at the Fermi level of number 4 (SrCuSb)?
0.050 states/eV/atom